Entry 1:
The following is a DFT calculation (SCAN) of YCd3Ag at its PBEsol-relaxed geometry.

Results
Total magnetic moment   0.00 μB per formula unit
Formation energy from the elements   0.1388 eV/atom

abc: 5.0405 5.0405 5.0405
angles: 90.00 90.00 90.00
Closest atoms and distances in Å follow each position.
Element x y z (fractional)
Y1 0.5000 0.5000 0.5000  12 Cd 3.56
Ag1 0.0000 0.0000 0.0000  6 Cd 2.52
Cd1 0.0000 0.5000 0.0000  2 Ag 2.52
Cd2 0.0000 0.0000 0.5000  2 Ag 2.52
Cd3 0.5000 0.0000 0.0000  2 Ag 2.52

Entry 2:
The following is a DFT calculation (SCAN) of YCdAg4 at its PBEsol-relaxed geometry.

Results
Total magnetic moment   0.00 μB per formula unit
Formation energy from the elements   -0.2339 eV/atom

abc: 5.4525 5.4525 5.4525
angles: 60.00 60.00 60.00
Closest atoms and distances in Å follow each position.
Element x y z (fractional)
Y1 0.0000 0.0000 0.0000  12 Ag 3.20, 4 Cd 3.34
Ag1 0.3754 0.3754 0.3754  6 Ag 2.72-2.73
Ag2 0.3754 0.3754 0.8739  6 Ag 2.72-2.73
Ag3 0.8739 0.3754 0.3754  6 Ag 2.72-2.73
Ag4 0.3754 0.8739 0.3754  6 Ag 2.72-2.73
Cd1 0.7500 0.7500 0.7500  12 Ag 3.20, 4 Y 3.34

Entry 3:
The following is a DFT calculation (SCAN) of Zn2CdAg at its PBEsol-relaxed geometry.

Results
Total magnetic moment   0.00 μB per formula unit
Formation energy from the elements   0.0213 eV/atom

abc: 2.8630 4.3018 5.4228
angles: 90.00 105.31 90.00
Closest atoms and distances in Å follow each position.
Element x y z (fractional)
Zn1 0.1851 0.0000 0.3702  2 Zn 2.54, 3 Ag 2.81, 4 Cd 2.84
Zn2 0.0556 0.5000 0.1112  2 Zn 2.54, 1 Cd 2.70, 4 Ag 2.79
Ag1 0.4538 0.0000 0.9077  7 Zn 2.79-2.81, 2 Ag 2.86, 4 Cd 3.06
Cd1 0.7971 0.5000 0.5943  7 Zn 2.70-2.90, 2 Cd 2.86

Entry 4:
The following is a DFT calculation (SCAN) of ZnCdAg2 at its PBEsol-relaxed geometry.

Results
Total magnetic moment   0.00 μB per formula unit
Formation energy from the elements   -0.0099 eV/atom

abc: 2.8683 4.1835 5.8633
angles: 90.00 108.48 90.00
Closest atoms and distances in Å follow each position.
Element x y z (fractional)
Zn1 0.0000 0.5000 0.5000  4 Ag 2.66, 2 Cd 2.83, 2 Zn 2.87
Ag1 0.8123 0.0000 0.7375  2 Zn 2.66, 4 Ag 2.79-2.92, 4 Cd 2.90-2.95
Ag2 0.1877 0.0000 0.2625  2 Zn 2.66, 4 Ag 2.79-2.92, 4 Cd 2.90-2.95
Cd1 0.5000 0.5000 0.0000  2 Zn 2.83, 2 Cd 2.87, 8 Ag 2.90-2.95

Entry 5:
The following is a DFT calculation (SCAN) of ZnCdAg2 at its PBEsol-relaxed geometry.

Results
Total magnetic moment   0.00 μB per formula unit
Formation energy from the elements   0.0526 eV/atom

abc: 2.8203 2.8203 9.0507
angles: 90.00 90.00 109.89
Closest atoms and distances in Å follow each position.
Element x y z (fractional)
Zn1 0.5000 0.5000 0.2627  2 Ag 2.63, 4 Zn 2.82, 2 Cd 2.85
Ag1 0.0000 0.0000 0.4916  2 Zn 2.63, 6 Ag 2.79-2.82
Ag2 0.5000 0.5000 0.7426  6 Ag 2.79-2.82, 2 Cd 2.86
Cd1 0.0000 0.0000 0.0031  4 Cd 2.82, 2 Zn 2.85, 2 Ag 2.86

Entry 6:
The following is a DFT calculation (SCAN) of ZnCdAg2 at its PBEsol-relaxed geometry.

Results
Total magnetic moment   0.00 μB per formula unit
Formation energy from the elements   0.0034 eV/atom

abc: 3.2735 3.2735 6.2409
angles: 90.00 90.00 90.00
Closest atoms and distances in Å follow each position.
Element x y z (fractional)
Zn1 0.5000 0.5000 0.7715  5 Ag 2.66-2.93, 4 Cd 2.85
Ag1 0.0000 0.0000 0.9831  4 Zn 2.66, 4 Ag 2.82
Ag2 0.5000 0.5000 0.2406  4 Ag 2.82, 4 Cd 2.84, 1 Zn 2.93
Cd1 0.0000 0.0000 0.5048  5 Ag 2.84-2.98, 4 Zn 2.85

Entry 7:
The following is a DFT calculation (SCAN) of ZnCdAg2 at its PBEsol-relaxed geometry.

Results
Total magnetic moment   0.00 μB per formula unit
Formation energy from the elements   0.0148 eV/atom

abc: 3.2551 4.4939 4.5718
angles: 90.00 90.00 90.00
Closest atoms and distances in Å follow each position.
Element x y z (fractional)
Zn1 0.0000 0.5000 0.5000  4 Ag 2.77, 4 Cd 2.81
Ag1 0.0000 0.0000 0.0000  4 Cd 2.77, 4 Ag 2.81
Ag2 0.5000 0.0000 0.5000  4 Zn 2.77, 4 Ag 2.81
Cd1 0.5000 0.5000 0.0000  4 Ag 2.77, 4 Zn 2.81

Entry 8:
The following is a DFT calculation (SCAN) of ZnCdAg2 at its PBEsol-relaxed geometry.

Results
Total magnetic moment   0.00 μB per formula unit
Formation energy from the elements   -0.0058 eV/atom

abc: 2.9159 4.8836 4.8836
angles: 106.55 89.93 89.93
Closest atoms and distances in Å follow each position.
Element x y z (fractional)
Zn1 0.5000 0.5000 0.5000  8 Ag 2.84-2.85, 2 Zn 2.92, 2 Cd 2.92
Ag1 0.0000 0.5000 0.0000  4 Zn 2.84-2.85, 4 Cd 2.84-2.85, 4 Ag 2.92
Ag2 0.0000 0.0000 0.5000  4 Cd 2.84-2.85, 4 Zn 2.84-2.85, 4 Ag 2.92
Cd1 0.5000 0.0000 0.0000  8 Ag 2.84-2.85, 2 Cd 2.92, 2 Zn 2.92

Entry 9:
The following is a DFT calculation (SCAN) of Zn2CdAg at its PBEsol-relaxed geometry.

Results
Total magnetic moment   0.00 μB per formula unit
Formation energy from the elements   0.0676 eV/atom

abc: 3.2912 4.4703 5.2129
angles: 115.39 108.40 90.00
Closest atoms and distances in Å follow each position.
Element x y z (fractional)
Zn1 0.7579 0.7579 0.5158  2 Ag 2.70, 4 Zn 2.78, 2 Cd 2.81
Zn2 0.2421 0.2421 0.4842  2 Ag 2.70, 4 Zn 2.78, 2 Cd 2.81
Ag1 0.5000 0.0000 0.0000  4 Zn 2.70, 4 Cd 2.78
Cd1 0.0000 0.5000 0.0000  4 Ag 2.78, 8 Zn 2.81-3.09

Entry 10:
The following is a DFT calculation (SCAN) of ZnCdAg at its PBEsol-relaxed geometry.

Results
Energy above the lowest structure with this stoichiometry   13.2 kJ/mol of formula units
Total magnetic moment   0.00 μB per formula unit
Formation energy from the elements   0.0543 eV/atom

abc: 2.8523 2.8523 7.0081
angles: 97.11 97.11 113.09
Closest atoms and distances in Å follow each position.
Element x y z (fractional)
Zn1 0.6613 0.6613 0.3225  2 Ag 2.63, 2 Cd 2.81, 4 Zn 2.85
Ag1 0.0071 0.0071 0.0141  2 Zn 2.63, 4 Ag 2.85, 2 Cd 2.87
Cd1 0.3317 0.3317 0.6633  2 Zn 2.81, 6 Cd 2.85-3.14, 2 Ag 2.87

Entry 11:
The following is a DFT calculation (SCAN) of ZnCdAg at its PBEsol-relaxed geometry.

Results
Energy above the lowest structure with this stoichiometry   36.1 kJ/mol of formula units
Total magnetic moment   0.00 μB per formula unit
Formation energy from the elements   0.1332 eV/atom

abc: 4.3405 4.3405 4.3405
angles: 60.00 60.00 60.00
Closest atoms and distances in Å follow each position.
Element x y z (fractional)
Ag1 0.0000 0.0000 0.0000  4 Zn 2.66
Cd1 0.5000 0.5000 0.5000  4 Zn 2.66
Zn1 0.2500 0.2500 0.2500  4 Cd 2.66, 4 Ag 2.66

Entry 12:
The following is a DFT calculation (SCAN) of Zn2CdAg at its PBEsol-relaxed geometry.

Results
Total magnetic moment   0.00 μB per formula unit
Formation energy from the elements   0.0573 eV/atom

abc: 3.1946 3.1946 6.3125
angles: 90.00 90.00 90.00
Closest atoms and distances in Å follow each position.
Element x y z (fractional)
Zn1 0.0000 0.0000 0.7696  4 Ag 2.69, 4 Cd 2.83, 1 Zn 2.91
Zn2 0.0000 0.0000 0.2304  4 Ag 2.69, 4 Cd 2.83, 1 Zn 2.91
Ag1 0.5000 0.5000 0.0000  8 Zn 2.69
Cd1 0.5000 0.5000 0.5000  8 Zn 2.83, 2 Ag 3.16

Entry 13:
The following is a DFT calculation (SCAN) of ZnCdAg2 at its PBEsol-relaxed geometry.

Results
Total magnetic moment   0.00 μB per formula unit
Formation energy from the elements   -0.0152 eV/atom

abc: 3.9882 3.9882 5.0479
angles: 113.27 113.27 90.00
Closest atoms and distances in Å follow each position.
Element x y z (fractional)
Zn1 0.2500 0.7500 0.5000  8 Ag 2.82-2.89, 4 Cd 2.89
Ag1 0.0000 0.0000 0.0000  4 Cd 2.82, 4 Zn 2.89, 4 Ag 2.89
Ag2 0.7500 0.2500 0.5000  4 Zn 2.82, 4 Cd 2.89, 4 Ag 2.89
Cd1 0.5000 0.5000 0.0000  8 Ag 2.82-2.89, 4 Zn 2.89

Entry 14:
The following is a DFT calculation (SCAN) of Zn2CdAg at its PBEsol-relaxed geometry.

Results
Total magnetic moment   0.00 μB per formula unit
Formation energy from the elements   0.0786 eV/atom

abc: 4.5088 4.5088 4.5088
angles: 60.00 60.00 60.00
Closest atoms and distances in Å follow each position.
Element x y z (fractional)
Zn1 0.0000 0.0000 0.0000  4 Zn 2.76, 4 Cd 2.76
Zn2 0.7500 0.7500 0.7500  4 Zn 2.76, 4 Ag 2.76
Ag1 0.5000 0.5000 0.5000  4 Cd 2.76, 4 Zn 2.76
Cd1 0.2500 0.2500 0.2500  4 Zn 2.76, 4 Ag 2.76

Entry 15:
The following is a DFT calculation (SCAN) of Zn2CdAg at its PBEsol-relaxed geometry.

Results
Total magnetic moment   0.00 μB per formula unit
Formation energy from the elements   0.0462 eV/atom

abc: 2.9555 4.7345 5.0053
angles: 105.23 107.17 90.00
Closest atoms and distances in Å follow each position.
Element x y z (fractional)
Zn1 0.9871 0.9977 0.9743  4 Zn 2.65-2.96, 4 Ag 2.75-2.85, 3 Cd 2.83-2.84
Zn2 0.2576 0.7435 0.5152  4 Zn 2.65-2.96, 3 Ag 2.74-2.88, 4 Cd 2.79-2.80
Ag1 0.5103 0.5238 0.0205  7 Zn 2.74-2.88, 3 Cd 2.93, 2 Ag 2.96
Cd1 0.7450 0.2350 0.4900  7 Zn 2.79-2.84, 3 Ag 2.93, 2 Cd 2.96

Entry 16:
The following is a DFT calculation (SCAN) of ZnCdAg at its PBEsol-relaxed geometry.

Results
Energy above the lowest structure with this stoichiometry   1.1 kJ/mol of formula units
Total magnetic moment   0.00 μB per formula unit
Formation energy from the elements   0.0124 eV/atom

abc: 3.0721 3.5499 5.1675
angles: 110.09 107.29 90.00
Closest atoms and distances in Å follow each position.
Element x y z (fractional)
Zn1 0.6577 0.6577 0.3153  4 Ag 2.70, 5 Cd 2.84-3.01
Ag1 0.0120 0.0120 0.0239  4 Zn 2.70, 5 Cd 2.88-2.93
Cd1 0.3304 0.3304 0.6608  5 Zn 2.84-3.01, 5 Ag 2.88-2.93, 2 Cd 3.07

Entry 17:
The following is a DFT calculation (SCAN) of ZnCdAg2 at its PBEsol-relaxed geometry.

Results
Total magnetic moment   0.00 μB per formula unit
Formation energy from the elements   -0.0069 eV/atom

abc: 3.2426 4.5843 5.2867
angles: 115.69 107.86 90.00
Closest atoms and distances in Å follow each position.
Element x y z (fractional)
Zn1 0.0000 0.5000 0.0000  4 Ag 2.65, 4 Cd 2.81
Ag1 0.7340 0.7340 0.4680  2 Zn 2.65, 4 Ag 2.82, 2 Cd 2.88
Ag2 0.2660 0.2660 0.5320  2 Zn 2.65, 4 Ag 2.82, 2 Cd 2.88
Cd1 0.5000 0.0000 0.0000  4 Zn 2.81, 8 Ag 2.88-3.11

Entry 18:
The following is a DFT calculation (SCAN) of ZnCdAg2 at its PBEsol-relaxed geometry.

Results
Total magnetic moment   0.00 μB per formula unit
Formation energy from the elements   -0.0131 eV/atom

abc: 2.9112 2.9112 9.2644
angles: 80.96 80.96 60.00
Closest atoms and distances in Å follow each position.
Element x y z (fractional)
Zn1 0.0000 0.0000 0.0000  6 Ag 2.71, 6 Zn 2.91
Ag1 0.2555 0.2555 0.2336  3 Zn 2.71, 6 Ag 2.91, 3 Cd 2.95
Ag2 0.7445 0.7445 0.7664  3 Zn 2.71, 6 Ag 2.91, 3 Cd 2.95
Cd1 0.5000 0.5000 0.5000  6 Cd 2.91, 6 Ag 2.95

Entry 19:
The following is a DFT calculation (SCAN) of ZnCdAg2 at its PBEsol-relaxed geometry.

Results
Total magnetic moment   0.00 μB per formula unit
Formation energy from the elements   0.0178 eV/atom

abc: 4.5533 4.5533 4.5533
angles: 60.00 60.00 60.00
Closest atoms and distances in Å follow each position.
Element x y z (fractional)
Zn1 0.2500 0.2500 0.2500  4 Cd 2.79, 4 Ag 2.79
Ag1 0.0000 0.0000 0.0000  4 Zn 2.79, 4 Ag 2.79
Ag2 0.7500 0.7500 0.7500  4 Ag 2.79, 4 Cd 2.79
Cd1 0.5000 0.5000 0.5000  4 Zn 2.79, 4 Ag 2.79

Entry 20:
The following is a DFT calculation (SCAN) of Zn2CdAg2 at its PBEsol-relaxed geometry.

Results
Energy above the lowest structure with this stoichiometry   0.0 kJ/mol of formula units
Total magnetic moment   0.00 μB per formula unit
Formation energy from the elements   0.0294 eV/atom

abc: 3.0358 7.3888 7.3888
angles: 90.00 90.00 90.00
Closest atoms and distances in Å follow each position.
Element x y z (fractional)
Zn1 0.5000 0.1589 0.6589  6 Ag 2.60-2.68
Zn2 0.5000 0.6589 0.8411  6 Ag 2.60-2.68
Zn3 0.5000 0.8411 0.3411  6 Ag 2.60-2.68
Zn4 0.5000 0.3411 0.1589  6 Ag 2.60-2.68
Ag1 0.0000 0.3615 0.8615  6 Zn 2.60-2.68, 2 Cd 2.86, 1 Ag 2.89
Ag2 0.0000 0.8615 0.6385  6 Zn 2.60-2.68, 2 Cd 2.86, 1 Ag 2.89
Ag3 0.0000 0.6385 0.1385  6 Zn 2.60-2.68, 2 Cd 2.86, 1 Ag 2.89
Ag4 0.0000 0.1385 0.3615  6 Zn 2.60-2.68, 2 Cd 2.86, 1 Ag 2.89
Cd1 0.0000 0.0000 0.0000  4 Ag 2.86, 2 Cd 3.04, 8 Zn 3.17
Cd2 0.0000 0.5000 0.5000  4 Ag 2.86, 2 Cd 3.04, 8 Zn 3.17

Number 1: E_tot -149.76 eV per cell. Number 2: E_tot -185.13 eV per cell. Number 3: E_tot -88.73 eV per cell. Number 4: E_tot -106.70 eV per cell. Number 5: E_tot -106.45 eV per cell. Number 6: E_tot -106.65 eV per cell. Number 7: E_tot -106.60 eV per cell. Number 8: E_tot -106.69 eV per cell. Number 9: E_tot -88.54 eV per cell. Number 10: E_tot -75.13 eV per cell. Number 11: E_tot -74.90 eV per cell. Number 12: E_tot -88.58 eV per cell. Number 13: E_tot -106.72 eV per cell. Number 14: E_tot -88.50 eV per cell. Number 15: E_tot -88.63 eV per cell. Number 16: E_tot -75.26 eV per cell. Number 17: E_tot -106.69 eV per cell. Number 18: E_tot -106.72 eV per cell. Number 19: E_tot -106.59 eV per cell. Number 20: E_tot -240.06 eV per cell.